Entry 1:
# PBE-GGA ZrBeRu2, relaxed
data_ZrBeRu2
_chemical_formula_sum 'Zr1 Be1 Ru2'
_symmetry_space_group_name_H-M 'P 1'
_symmetry_Int_Tables_number 1
_cell_length_a 3.160
_cell_length_b 3.160
_cell_length_c 5.952
_cell_angle_alpha 90.00
_cell_angle_beta 90.00
_cell_angle_gamma 90.00
loop_
_symmetry_equiv_pos_as_xyz
'x,y,z'
loop_
_atom_site_label
_atom_site_type_symbol
_atom_site_fract_x
_atom_site_fract_y
_atom_site_fract_z
Zr1 Zr 0.000 0.000 0.000
Be1 Be 0.500 0.500 0.308
Ru1 Ru 0.000 0.000 0.439
Ru2 Ru 0.500 0.500 0.740
# formation energy from the elements: -0.1106 eV per atom
# space-group type: P4mm, No. 99
# electronic total energy: -31.27 eV/cell
# total magnetization: 0.0 Bohr magnetons per cell

---

Entry 2:
# PBE-GGA Zr2Be16Ru, relaxed
data_Zr2Be16Ru
_chemical_formula_sum 'Zr2 Be16 Ru1'
_symmetry_space_group_name_H-M 'P 1'
_symmetry_Int_Tables_number 1
_cell_length_a 5.765
_cell_length_b 5.765
_cell_length_c 5.765
_cell_angle_alpha 83.40
_cell_angle_beta 83.40
_cell_angle_gamma 83.40
loop_
_symmetry_equiv_pos_as_xyz
'x,y,z'
loop_
_atom_site_label
_atom_site_type_symbol
_atom_site_fract_x
_atom_site_fract_y
_atom_site_fract_z
Zr1 Zr 0.000 0.000 0.000
Zr2 Zr 0.317 0.317 0.317
Be1 Be 0.005 0.005 0.504
Be2 Be 0.005 0.504 0.005
Be3 Be 0.160 0.661 0.661
Be4 Be 0.317 0.317 0.820
Be5 Be 0.317 0.820 0.317
Be6 Be 0.377 0.663 0.948
Be7 Be 0.377 0.948 0.663
Be8 Be 0.504 0.005 0.005
Be9 Be 0.553 0.553 0.553
Be10 Be 0.661 0.160 0.661
Be11 Be 0.661 0.661 0.160
Be12 Be 0.663 0.377 0.948
Be13 Be 0.663 0.948 0.377
Be14 Be 0.820 0.317 0.317
Be15 Be 0.948 0.377 0.663
Be16 Be 0.948 0.663 0.377
Ru1 Ru 0.755 0.755 0.755
# formation energy from the elements: -0.2538 eV per atom
# space-group type: R3m, No. 160
# electronic total energy: -90.81 eV/cell
# total magnetization: 0.0 Bohr magnetons per cell

---

Entry 3:
# PBE-GGA ZrBeRu, relaxed
data_ZrBeRu
_chemical_formula_sum 'Zr2 Be2 Ru2'
_symmetry_space_group_name_H-M 'P 1'
_symmetry_Int_Tables_number 1
_cell_length_a 4.964
_cell_length_b 4.964
_cell_length_c 4.964
_cell_angle_alpha 120.75
_cell_angle_beta 93.71
_cell_angle_gamma 115.09
loop_
_symmetry_equiv_pos_as_xyz
'x,y,z'
loop_
_atom_site_label
_atom_site_type_symbol
_atom_site_fract_x
_atom_site_fract_y
_atom_site_fract_z
Zr1 Zr 0.125 0.250 0.375
Zr2 Zr 0.875 0.750 0.625
Be1 Be 0.499 0.499 0.000
Be2 Be 0.499 0.999 0.500
Ru1 Ru 0.494 0.996 0.998
Ru2 Ru 0.997 0.496 0.002
# formation energy from the elements: -0.3745 eV per atom
# space-group type: Ima2, No. 46
# electronic total energy: -45.35 eV/cell
# total magnetization: 0.0 Bohr magnetons per cell

---

Entry 4:
# PBE-GGA Zr2BeRu, relaxed
data_Zr2BeRu
_chemical_formula_sum 'Zr2 Be1 Ru1'
_symmetry_space_group_name_H-M 'P 1'
_symmetry_Int_Tables_number 1
_cell_length_a 7.941
_cell_length_b 7.941
_cell_length_c 7.941
_cell_angle_alpha 23.59
_cell_angle_beta 23.59
_cell_angle_gamma 23.59
loop_
_symmetry_equiv_pos_as_xyz
'x,y,z'
loop_
_atom_site_label
_atom_site_type_symbol
_atom_site_fract_x
_atom_site_fract_y
_atom_site_fract_z
Zr1 Zr 0.247 0.247 0.247
Zr2 Zr 0.753 0.753 0.753
Be1 Be 0.500 0.500 0.500
Ru1 Ru 0.000 0.000 0.000
# formation energy from the elements: -0.0210 eV per atom
# space-group type: R-3m, No. 166
# electronic total energy: -30.18 eV/cell
# total magnetization: 0.0 Bohr magnetons per cell

---

Entry 5:
# PBE-GGA Zr3BeRu, relaxed
data_Zr3BeRu
_chemical_formula_sum 'Zr3 Be1 Ru1'
_symmetry_space_group_name_H-M 'P 1'
_symmetry_Int_Tables_number 1
_cell_length_a 4.624
_cell_length_b 4.624
_cell_length_c 4.624
_cell_angle_alpha 90.00
_cell_angle_beta 90.00
_cell_angle_gamma 90.00
loop_
_symmetry_equiv_pos_as_xyz
'x,y,z'
loop_
_atom_site_label
_atom_site_type_symbol
_atom_site_fract_x
_atom_site_fract_y
_atom_site_fract_z
Zr1 Zr 0.000 0.000 0.500
Zr2 Zr 0.000 0.500 0.000
Zr3 Zr 0.500 0.000 0.000
Be1 Be 0.000 0.000 0.000
Ru1 Ru 0.500 0.500 0.500
# formation energy from the elements: 0.4873 eV per atom
# space-group type: Pm-3m, No. 221
# electronic total energy: -36.21 eV/cell
# total magnetization: 0.0 Bohr magnetons per cell

---

Entry 6:
# PBE-GGA Zr2BeRu, relaxed
data_Zr2BeRu
_chemical_formula_sum 'Zr2 Be1 Ru1'
_symmetry_space_group_name_H-M 'P 1'
_symmetry_Int_Tables_number 1
_cell_length_a 3.477
_cell_length_b 4.023
_cell_length_c 5.333
_cell_angle_alpha 90.00
_cell_angle_beta 108.84
_cell_angle_gamma 90.00
loop_
_symmetry_equiv_pos_as_xyz
'x,y,z'
loop_
_atom_site_label
_atom_site_type_symbol
_atom_site_fract_x
_atom_site_fract_y
_atom_site_fract_z
Zr1 Zr 0.000 0.000 0.000
Zr2 Zr 0.280 0.500 0.564
Be1 Be 0.569 0.500 0.138
Ru1 Ru 0.709 0.000 0.420
# formation energy from the elements: -0.2990 eV per atom
# space-group type: Pm, No. 6
# electronic total energy: -31.29 eV/cell
# total magnetization: 0.0 Bohr magnetons per cell

---

The highest electronic total energy belongs to which entry? number 4